An optimized crystal structure of Mo2RhAu, computed with GGA-PBE.

Output
- Formation energy: 158 meV/atom
- Density of states at the Fermi level: 0.96 states/eV per atom
- Energy above the most stable polymorph in this dataset: 118.7 meV/atom

a = 9.4760 Å, b = 9.4760 Å, c = 9.4760 Å
α = 16.99°, β = 16.99°, γ = 16.99°
Element x y z (fractional)
1 Mo 0.2463 0.2463 0.2463
2 Mo 0.7537 0.7537 0.7537
3 Rh 0.5000 0.5000 0.5000
4 Au 0.0000 0.0000 0.0000



An optimized crystal structure of Li3AgPt3, computed with GGA-PBE.

Output
- Formation energy: -144 meV/atom
- Density of states at the Fermi level: 0.28 states/eV per atom

a = 11.3556 Å, b = 11.3556 Å, c = 2.6779 Å
α = 90.00°, β = 90.00°, γ = 120.00°
Element x y z (fractional)
1 Li 0.1279 0.3873 0.2500
2 Li 0.2594 0.8721 0.2500
3 Li 0.3873 0.2594 0.7500
4 Li 0.6127 0.7406 0.2500
5 Li 0.7406 0.1279 0.7500
6 Li 0.8721 0.6127 0.7500
7 Ag 0.3333 0.6667 0.2500
8 Ag 0.6667 0.3333 0.7500
9 Pt 0.0722 0.6153 0.2500
10 Pt 0.3847 0.4568 0.2500
11 Pt 0.4568 0.0722 0.7500
12 Pt 0.5432 0.9278 0.2500
13 Pt 0.6153 0.5432 0.7500
14 Pt 0.9278 0.3847 0.7500



An optimized crystal structure of MgCd3Ag6, computed with GGA-PBE.

Output
- Formation energy: -91 meV/atom
- Density of states at the Fermi level: 0.20 states/eV per atom
- Energy above the most stable polymorph in this dataset: 0.0 meV/atom

a = 9.2679 Å, b = 4.2931 Å, c = 9.4882 Å
α = 90.00°, β = 92.35°, γ = 90.00°
Element x y z (fractional)
1 Mg 0.0552 0.2500 0.3900
2 Mg 0.9448 0.7500 0.6100
3 Cd 0.2453 0.2500 0.0066
4 Cd 0.3449 0.7500 0.8007
5 Cd 0.4483 0.2500 0.6003
6 Cd 0.5517 0.7500 0.3997
7 Cd 0.6551 0.2500 0.1993
8 Cd 0.7547 0.7500 0.9934
9 Ag 0.0493 0.7500 0.9002
10 Ag 0.1418 0.2500 0.6942
11 Ag 0.1497 0.7500 0.2030
12 Ag 0.2406 0.7500 0.4990
13 Ag 0.3502 0.2500 0.3012
14 Ag 0.4504 0.7500 0.1003
15 Ag 0.5496 0.2500 0.8997
16 Ag 0.6498 0.7500 0.6988
17 Ag 0.7594 0.2500 0.5010
18 Ag 0.8503 0.2500 0.7970
19 Ag 0.8582 0.7500 0.3058
20 Ag 0.9507 0.2500 0.0998



An optimized crystal structure of NiRh2, computed with GGA-PBE.

Output
- Formation energy: 211 meV/atom
- Density of states at the Fermi level: 1.76 states/eV per atom
- Energy above the most stable polymorph in this dataset: 171.7 meV/atom

a = 4.2683 Å, b = 4.2683 Å, c = 5.1864 Å
α = 90.00°, β = 90.00°, γ = 120.00°
Element x y z (fractional)
1 Ni 0.3333 0.6667 0.0000
2 Ni 0.6667 0.3333 0.0000
3 Rh 0.0000 0.0000 0.2448
4 Rh 0.0000 0.0000 0.7552
5 Rh 0.3333 0.6667 0.5000
6 Rh 0.6667 0.3333 0.5000



An optimized crystal structure of LaOsO2, computed with GGA-PBE.

Output
- Density of states at the Fermi level: 0.25 states/eV per atom
- Energy above the most stable polymorph in this dataset: 768.0 meV/atom

a = 4.3014 Å, b = 4.3014 Å, c = 4.3014 Å
α = 60.00°, β = 60.00°, γ = 60.00°
Element x y z (fractional)
1 La 0.0000 0.0000 0.0000
2 Os 0.5000 0.5000 0.5000
3 O 0.2500 0.2500 0.2500
4 O 0.7500 0.7500 0.7500



An optimized crystal structure of PmY2Tm5, computed with GGA-PBE.

Output
- Formation energy: 28 meV/atom
- Density of states at the Fermi level: 1.47 states/eV per atom
- Energy above the most stable polymorph in this dataset: 0.0 meV/atom

a = 7.0476 Å, b = 7.0476 Å, c = 7.0476 Å
α = 119.89°, β = 119.89°, γ = 90.20°
Element x y z (fractional)
1 Pm 0.0000 0.0000 0.0000
2 Y 0.0004 0.5004 0.5000
3 Y 0.5004 0.0004 0.5000
4 Tm 0.0005 0.0005 0.5003
5 Tm 0.0005 0.5001 0.0000
6 Tm 0.5001 0.0005 0.0000
7 Tm 0.5001 0.5001 0.4997
8 Tm 0.5006 0.5006 0.0000



An optimized crystal structure of Ce4Ho11Tm9, computed with GGA-PBE.

Output
- Formation energy: 100 meV/atom
- Density of states at the Fermi level: 1.90 states/eV per atom

a = 14.8651 Å, b = 14.8651 Å, c = 3.6145 Å
α = 90.00°, β = 90.00°, γ = 112.37°
Element x y z (fractional)
1 Ce 0.0524 0.2518 0.0000
2 Ce 0.2518 0.0524 0.0000
3 Ce 0.7482 0.9476 0.0000
4 Ce 0.9476 0.7482 0.0000
5 Ho 0.0913 0.4523 0.5000
6 Ho 0.1365 0.8635 0.5000
7 Ho 0.2111 0.2111 0.5000
8 Ho 0.3426 0.6574 0.5000
9 Ho 0.4523 0.0913 0.5000
10 Ho 0.5000 0.5000 0.5000
11 Ho 0.5477 0.9087 0.5000
12 Ho 0.6574 0.3426 0.5000
13 Ho 0.7889 0.7889 0.5000
14 Ho 0.8635 0.1365 0.5000
15 Ho 0.9087 0.5477 0.5000
16 Tm 0.0000 0.0000 0.0000
17 Tm 0.1353 0.6617 0.0000
18 Tm 0.2865 0.4310 0.0000
19 Tm 0.3383 0.8647 0.0000
20 Tm 0.4310 0.2865 0.0000
21 Tm 0.5690 0.7135 0.0000
22 Tm 0.6617 0.1353 0.0000
23 Tm 0.7135 0.5690 0.0000
24 Tm 0.8647 0.3383 0.0000



An optimized crystal structure of IrI4, computed with GGA-PBE.

Output
- Energy above the most stable polymorph in this dataset: 0.0 meV/atom

a = 6.9696 Å, b = 6.9696 Å, c = 11.5881 Å
α = 95.86°, β = 95.86°, γ = 120.64°
Element x y z (fractional)
1 Ir 0.1658 0.8342 0.0000
2 Ir 0.8342 0.1658 0.0000
3 I 0.0553 0.0553 0.3903
4 I 0.0937 0.4566 0.8665
5 I 0.1973 0.1973 0.1283
6 I 0.4566 0.0937 0.8665
7 I 0.5434 0.9063 0.1335
8 I 0.8027 0.8027 0.8717
9 I 0.9063 0.5434 0.1335
10 I 0.9447 0.9447 0.6097



An optimized crystal structure of NaPt, computed with GGA-PBE.

Output
- Formation energy: -107 meV/atom
- Density of states at the Fermi level: 0.56 states/eV per atom

a = 4.8612 Å, b = 9.5845 Å, c = 4.6671 Å
α = 90.00°, β = 90.00°, γ = 90.00°
Element x y z (fractional)
1 Na 0.2500 0.0754 0.0049
2 Na 0.2500 0.2500 0.5061
3 Na 0.2500 0.4246 0.0049
4 Na 0.7500 0.5754 0.9951
5 Na 0.7500 0.7500 0.4939
6 Na 0.7500 0.9246 0.9951
7 Pt 0.2500 0.6047 0.5033
8 Pt 0.2500 0.7500 0.0030
9 Pt 0.2500 0.8953 0.5033
10 Pt 0.7500 0.1047 0.4967
11 Pt 0.7500 0.2500 0.9970
12 Pt 0.7500 0.3953 0.4967



An optimized crystal structure of CrSbCI2, computed with GGA-PBE.

Output
- Density of states at the Fermi level: 1.24 states/eV per atom
- Energy above the most stable polymorph in this dataset: 0.0 meV/atom

a = 5.4148 Å, b = 5.4148 Å, c = 5.2248 Å
α = 90.00°, β = 90.00°, γ = 90.00°
Element x y z (fractional)
1 Cr 0.0000 0.0000 0.0000
2 Sb 0.0000 0.0000 0.5000
3 C 0.5000 0.5000 0.5000
4 I 0.0000 0.5000 0.0000
5 I 0.5000 0.0000 0.0000



An optimized crystal structure of LiAc2Sb4Au3, computed with GGA-PBE.

Output
- E_tot: -4.278 eV per atom
- Density of states at the Fermi level: 0.32 states/eV per atom

a = 4.8195 Å, b = 4.8195 Å, c = 11.3680 Å
α = 90.00°, β = 90.00°, γ = 90.00°
Element x y z (fractional)
1 Li 0.0000 0.0000 0.0000
2 Ac 0.0000 0.5000 0.7492
3 Ac 0.5000 0.0000 0.2508
4 Sb 0.0000 0.0000 0.5000
5 Sb 0.0000 0.5000 0.1290
6 Sb 0.5000 0.0000 0.8710
7 Sb 0.5000 0.5000 0.5000
8 Au 0.0000 0.5000 0.3638
9 Au 0.5000 0.0000 0.6362
10 Au 0.5000 0.5000 0.0000



An optimized crystal structure of La2BCl, computed with GGA-PBE.

Output
- Density of states at the Fermi level: 0.00 states/eV per atom
- Energy above the most stable polymorph in this dataset: 256.8 meV/atom

a = 6.6995 Å, b = 6.6995 Å, c = 6.6995 Å
α = 114.46°, β = 114.46°, γ = 99.90°
Element x y z (fractional)
1 La 0.0728 0.1250 0.4478
2 La 0.3750 0.9272 0.0522
3 La 0.6772 0.6250 0.5522
4 La 0.8750 0.3228 0.9478
5 B 0.0000 0.0000 0.0000
6 B 0.7500 0.2500 0.5000
7 Cl 0.2500 0.7500 0.5000
8 Cl 0.5000 0.5000 0.0000